Here is Sr10Sb4O3 after structural relaxation from Alexandria via LeMat-Bulk. Energies are from PBE-GGA.

Cell: 19.5953 19.5953 19.5953 Å, 165.15 165.15 21.06°
Fractional coordinates of all 17 atoms:
Sr: 0.0000 0.5000 0.5000
Sr: 0.0684 0.0684 0.0000
Sr: 0.1373 0.6373 0.5000
Sr: 0.2152 0.2152 0.0000
Sr: 0.3627 0.8627 0.5000
Sr: 0.5000 0.0000 0.5000
Sr: 0.6373 0.1373 0.5000
Sr: 0.7848 0.7848 0.0000
Sr: 0.8627 0.3627 0.5000
Sr: 0.9316 0.9316 0.0000
Sb: 0.3019 0.3019 0.0000
Sb: 0.4324 0.4324 0.0000
Sb: 0.5676 0.5676 0.0000
Sb: 0.6981 0.6981 0.0000
O: 0.0000 0.0000 0.0000
O: 0.1332 0.1332 0.0000
O: 0.8668 0.8668 0.0000

The value obtained for the density of states at the Fermi level is 0.346 states/eV/atom. As for the crystal system: tetragonal. As for the uncorrected formation energy: -1.55 eV/atom.

***

Here is Sr3Sb5O12 after structural relaxation from Alexandria via LeMat-Bulk. Energies are from PBE-GGA.

Cell: 11.9634 11.9634 11.9634 Å, 109.47 109.47 109.47°
Fractional coordinates of all 80 atoms:
Sr: 0.1250 0.2500 0.3750
Sr: 0.1250 0.3750 0.7500
Sr: 0.2500 0.3750 0.1250
Sr: 0.2500 0.8750 0.6250
Sr: 0.3750 0.1250 0.2500
Sr: 0.3750 0.7500 0.1250
Sr: 0.6250 0.2500 0.8750
Sr: 0.6250 0.8750 0.7500
Sr: 0.7500 0.1250 0.3750
Sr: 0.7500 0.6250 0.8750
Sr: 0.8750 0.6250 0.2500
Sr: 0.8750 0.7500 0.6250
Sb: 0.0000 0.0000 0.0000
Sb: 0.0000 0.0000 0.5000
Sb: 0.0000 0.5000 0.0000
Sb: 0.0000 0.5000 0.5000
Sb: 0.1250 0.7500 0.8750
Sb: 0.1250 0.8750 0.2500
Sb: 0.2500 0.1250 0.8750
Sb: 0.2500 0.6250 0.3750
Sb: 0.3750 0.2500 0.6250
Sb: 0.3750 0.6250 0.7500
Sb: 0.5000 0.0000 0.0000
Sb: 0.5000 0.0000 0.5000
Sb: 0.5000 0.5000 0.0000
Sb: 0.5000 0.5000 0.5000
Sb: 0.6250 0.3750 0.2500
Sb: 0.6250 0.7500 0.3750
Sb: 0.7500 0.3750 0.6250
Sb: 0.7500 0.8750 0.1250
Sb: 0.8750 0.1250 0.7500
Sb: 0.8750 0.2500 0.1250
O: 0.0242 0.1912 0.1161
O: 0.0242 0.3331 0.9081
O: 0.0750 0.6912 0.6669
O: 0.0750 0.8839 0.4081
O: 0.0919 0.6161 0.4250
O: 0.0919 0.9758 0.6669
O: 0.1161 0.0242 0.1912
O: 0.1161 0.5919 0.9250
O: 0.1669 0.1912 0.5750
O: 0.1669 0.4758 0.5919
O: 0.1912 0.1161 0.0242
O: 0.1912 0.5750 0.1669
O: 0.3088 0.3331 0.9250
O: 0.3088 0.4758 0.3839
O: 0.3331 0.9081 0.0242
O: 0.3331 0.9250 0.3088
O: 0.3839 0.3088 0.4758
O: 0.3839 0.5750 0.9081
O: 0.4081 0.0750 0.8839
O: 0.4081 0.8331 0.5242
O: 0.4250 0.0919 0.6161
O: 0.4250 0.8331 0.8088
O: 0.4758 0.3839 0.3088
O: 0.4758 0.5919 0.1669
O: 0.5242 0.4081 0.8331
O: 0.5242 0.6161 0.6912
O: 0.5750 0.1669 0.1912
O: 0.5750 0.9081 0.3839
O: 0.5919 0.1669 0.4758
O: 0.5919 0.9250 0.1161
O: 0.6161 0.4250 0.0919
O: 0.6161 0.6912 0.5242
O: 0.6669 0.0750 0.6912
O: 0.6669 0.0919 0.9758
O: 0.6912 0.5242 0.6161
O: 0.6912 0.6669 0.0750
O: 0.8088 0.4250 0.8331
O: 0.8088 0.8839 0.9758
O: 0.8331 0.5242 0.4081
O: 0.8331 0.8088 0.4250
O: 0.8839 0.4081 0.0750
O: 0.8839 0.9758 0.8088
O: 0.9081 0.0242 0.3331
O: 0.9081 0.3839 0.5750
O: 0.9250 0.1161 0.5919
O: 0.9250 0.3088 0.3331
O: 0.9758 0.6669 0.0919
O: 0.9758 0.8088 0.8839

The value obtained for the density of states at the Fermi level is 0.246 states/eV/atom. As for the crystal system: cubic. As for the uncorrected formation energy: -1.74 eV/atom.

***

Here is Sr6Sb3O2 after structural relaxation from Alexandria via LeMat-Bulk. Energies are from PBE-GGA.

Cell: 13.8218 13.8218 13.8218 Å, 159.03 159.03 29.82°
Fractional coordinates of all 11 atoms:
Sr: 0.0852 0.5851 0.5000
Sr: 0.1942 0.1942 0.0000
Sr: 0.4148 0.9148 0.5000
Sr: 0.5851 0.0852 0.5000
Sr: 0.8058 0.8058 0.0000
Sr: 0.9148 0.4148 0.5000
Sb: 0.3234 0.3234 0.0000
Sb: 0.5000 0.5000 0.0000
Sb: 0.6766 0.6766 0.0000
O: 0.1031 0.1031 0.0000
O: 0.8969 0.8969 0.0000

The value obtained for the density of states at the Fermi level is 0.453 states/eV/atom. As for the crystal system: tetragonal. As for the uncorrected formation energy: -1.63 eV/atom.

***

Here is SrSb2O after structural relaxation from Alexandria via LeMat-Bulk. Energies are from PBE-GGA.

Cell: 7.9317 7.9317 7.9317 Å, 135.43 135.43 64.86°
Fractional coordinates of all 8 atoms:
Sr: 0.3750 0.6250 0.7500
Sr: 0.6250 0.3750 0.2500
Sb: 0.0000 0.0000 0.0000
Sb: 0.0000 0.0000 0.5000
Sb: 0.0000 0.5000 0.0000
Sb: 0.5000 0.0000 0.5000
O: 0.1250 0.8750 0.2500
O: 0.8750 0.1250 0.7500

The value obtained for the density of states at the Fermi level is 0.324 states/eV/atom. As for the crystal system: tetragonal. As for the uncorrected formation energy: -0.63 eV/atom.

***

Here is Sr2SbO after structural relaxation from Alexandria via LeMat-Bulk. Energies are from PBE-GGA.

Cell: 5.3847 5.3847 5.3847 Å, 60.00 60.00 60.00°
Fractional coordinates of all 4 atoms:
Sr: 0.2500 0.2500 0.2500
Sr: 0.7500 0.7500 0.7500
Sb: 0.0000 0.0000 0.0000
O: 0.5000 0.5000 0.5000

The energy relative to the lowest polymorph listed for this composition comes out at 798 meV/atom. The value obtained for the density of states at the Fermi level is 0.868 states/eV/atom. As for the crystal system: cubic. As for the uncorrected formation energy: -0.95 eV/atom.

***

Here is Sr2SbO after structural relaxation from Alexandria via LeMat-Bulk. Energies are from PBE-GGA.

Cell: 6.8250 6.8250 6.8250 Å, 114.29 114.29 100.21°
Fractional coordinates of all 8 atoms:
Sr: 0.0192 0.6250 0.8942
Sr: 0.3750 0.2692 0.3942
Sr: 0.7308 0.1250 0.1058
Sr: 0.8750 0.9808 0.6058
Sb: 0.2500 0.7500 0.5000
Sb: 0.5000 0.5000 0.0000
O: 0.0000 0.0000 0.0000
O: 0.7500 0.2500 0.5000

The energy relative to the lowest polymorph listed for this composition comes out at 127 meV/atom. The value obtained for the density of states at the Fermi level is 0.063 states/eV/atom. As for the crystal system: tetragonal. As for the uncorrected formation energy: -1.62 eV/atom.

***

Q: uncorrected formation energy of number 2 (Sr3Sb5O12)?
A: -1.74 eV/atom

***

Q: Among the records above, which one has the lowest uncorrected formation energy?
A: Sr3Sb5O12

***

Q: uncorrected formation energy of number 3 (Sr6Sb3O2)?
A: -1.63 eV/atom